This record from Alexandria via LeMat-Bulk describes a relaxed Ta2SiAu crystal. The functional is PBE-GGA. Values from VASP.

Structure (Quantum ESPRESSO input):
```
&SYSTEM
  ibrav = 0, nat = 4, ntyp = 3
/
ATOMIC_SPECIES
Au 196.97 Au.upf
Si 28.09 Si.upf
Ta 180.95 Ta.upf
CELL_PARAMETERS angstrom
-0.343 -3.738 0.875
1.500 0.745 3.773
-3.903 0.690 1.415
ATOMIC_POSITIONS crystal
Au 0.500 0.000 0.500
Si 0.000 0.500 0.500
Ta 0.000 0.000 0.000
Ta 0.500 0.500 0.000
```

Calculated values
Total DFT energy (no corrections) ... -8.17 eV/atom
Volume ... 67 Å³ per cell
Formation energy (no corrections) ... -0.07 eV/atom

This record from Alexandria via LeMat-Bulk describes a relaxed Ta3SiAu crystal. The functional is PBE-GGA. Values from VASP.

Structure (Quantum ESPRESSO input):
```
&SYSTEM
  ibrav = 0, nat = 5, ntyp = 3
/
ATOMIC_SPECIES
Si 28.09 Si.upf
Au 196.97 Au.upf
Ta 180.95 Ta.upf
CELL_PARAMETERS angstrom
4.622 0.000 0.000
0.000 4.622 0.000
0.000 0.000 4.622
ATOMIC_POSITIONS crystal
Si 0.000 0.000 0.000
Au 0.500 0.500 0.500
Ta 0.000 0.500 0.000
Ta 0.000 0.000 0.500
Ta 0.500 0.000 0.000
```

Calculated values
Total DFT energy (no corrections) ... -8.12 eV/atom
Volume ... 99 Å³ per cell
E above lowest polymorph ... 0 meV per atom
Formation energy (no corrections) ... 0.73 eV/atom

Number 1: total moment 0.00 μB/f.u.. Number 2: total moment 0.00 μB/f.u..